First-principles (PBE-GGA) data for Th4CuSn8 after structural relaxation, as listed in Alexandria via LeMat-Bulk.

abc: 4.4503 4.5284 17.5230
angles: 90.00 90.00 90.00
Space group Pmm2 (No. 25)
Unique sites:
Th: 0.0000 0.0000 0.0000 [1 per cell]
Th: 0.0000 0.5000 0.4879 [1 per cell]
Th: 0.5000 0.0000 0.7875 [1 per cell]
Th: 0.5000 0.5000 0.2880 [1 per cell]
Cu: 0.0000 0.5000 0.7108 [1 per cell]
Sn: 0.0000 0.0000 0.3267 [1 per cell]
Sn: 0.0000 0.0000 0.6310 [1 per cell]
Sn: 0.0000 0.5000 0.1442 [1 per cell]
Sn: 0.0000 0.5000 0.8537 [1 per cell]
Sn: 0.5000 0.0000 0.1444 [1 per cell]
Sn: 0.5000 0.0000 0.4459 [1 per cell]
Sn: 0.5000 0.5000 0.6299 [1 per cell]
Sn: 0.5000 0.5000 0.9664 [1 per cell]

Properties
For the formation energy, the calculation gives -0.48 eV/atom. The crystal system is orthorhombic. The value obtained for the magnetization is 0.0 μB/cell.

***

First-principles (PBE-GGA) data for HoPuSc2Te4 after structural relaxation, as listed in Alexandria via LeMat-Bulk.

abc: 7.4093 4.2440 7.4138
angles: 90.00 109.05 90.00
Space group P2/m (No. 10)
Unique sites:
Ho: 0.0000 0.0000 0.0000 [1 per cell]
Pu: 0.5000 0.5000 0.0000 [1 per cell]
Sc: 0.0000 0.5000 0.5000 [1 per cell]
Sc: 0.5000 0.0000 0.5000 [1 per cell]
Te: 0.2415 0.0000 0.7334 [2 per cell]
Te: 0.2516 0.5000 0.2648 [2 per cell]

Properties
The crystal system is monoclinic. The value obtained for the raw total energy is -53.3 eV/cell. The value obtained for the magnetization is 6.0 μB/cell.

***

First-principles (PBE-GGA) data for Ba2CaCuHg after structural relaxation, as listed in Alexandria via LeMat-Bulk.

abc: 6.2034 6.2034 5.5795
angles: 90.00 90.00 90.00
Space group P4/mmm (No. 123)
Unique sites:
Ba: 0.0000 0.5000 0.0000 [2 per cell]
Ca: 0.0000 0.0000 0.5000 [1 per cell]
Cu: 0.0000 0.0000 0.0000 [1 per cell]
Hg: 0.5000 0.5000 0.5000 [1 per cell]

Properties
For the formation energy, the calculation gives -0.04 eV/atom. The crystal system is tetragonal. The value obtained for the magnetization is 0.0 μB/cell.

***

First-principles (PBE-GGA) data for TbErHfTh after structural relaxation, as listed in Alexandria via LeMat-Bulk.

abc: 7.7158 7.7158 7.7158
angles: 90.00 90.00 90.00
Space group F-43m (No. 216)
Unique sites:
Tb: 0.0000 0.0000 0.0000 [4 per cell]
Er: 0.2500 0.2500 0.7500 [4 per cell]
Hf: 0.2500 0.2500 0.2500 [4 per cell]
Th: 0.0000 0.0000 0.5000 [4 per cell]

Properties
For the formation energy, the calculation gives 0.20 eV/atom. The crystal system is cubic. The value obtained for the magnetization is 0.0 μB/cell.

***

First-principles (PBE-GGA) data for SrLaTl2 after structural relaxation, as listed in Alexandria via LeMat-Bulk.

abc: 3.9068 5.4342 6.7605
angles: 90.00 90.00 90.00
Space group Pmm2 (No. 25)
Unique sites:
Sr: 0.0000 0.0000 0.0000 [1 per cell]
La: 0.5000 0.5000 0.5912 [1 per cell]
Tl: 0.0000 0.0000 0.4950 [1 per cell]
Tl: 0.5000 0.5000 0.1113 [1 per cell]

Properties
For the formation energy, the calculation gives -0.21 eV/atom. The crystal system is orthorhombic. The value obtained for the magnetization is 0.0 μB/cell.

***

First-principles (PBE-GGA) data for NaHf2PdCl after structural relaxation, as listed in Alexandria via LeMat-Bulk.

abc: 5.1743 5.1743 4.4196
angles: 90.00 90.00 90.00
Space group P4/mmm (No. 123)
Unique sites:
Na: 0.0000 0.0000 0.0000 [1 per cell]
Hf: 0.0000 0.5000 0.0000 [2 per cell]
Pd: 0.5000 0.5000 0.5000 [1 per cell]
Cl: 0.0000 0.0000 0.5000 [1 per cell]

Properties
The crystal system is tetragonal. The value obtained for the raw total energy is -21.7 eV/cell. The value obtained for the magnetization is 0.0 μB/cell.

***

First-principles (PBE-GGA) data for Ca2ScOs after structural relaxation, as listed in Alexandria via LeMat-Bulk.

abc: 3.3002 3.3002 31.7584
angles: 90.00 90.00 120.00
Space group R-3m (No. 166, hexagonal axes)
Unique sites:
Ca: 0.0000 0.0000 0.2345 [6 per cell]
Sc: 0.0000 0.0000 0.0000 [3 per cell]
Os: 0.0000 0.0000 0.5000 [3 per cell]

Properties
For the formation energy, the calculation gives 0.56 eV/atom. The crystal system is trigonal. The value obtained for the magnetization is 2.1 μB/cell.

***

First-principles (PBE-GGA) data for CeHfIn6 after structural relaxation, as listed in Alexandria via LeMat-Bulk.

abc: 4.6214 4.6214 9.1152
angles: 90.00 90.00 90.00
Space group P4/mmm (No. 123)
Unique sites:
Ce: 0.0000 0.0000 0.0000 [1 per cell]
Hf: 0.0000 0.0000 0.5000 [1 per cell]
In: 0.0000 0.5000 0.2604 [4 per cell]
In: 0.5000 0.5000 0.0000 [1 per cell]
In: 0.5000 0.5000 0.5000 [1 per cell]

Properties
For the formation energy, the calculation gives -0.24 eV/atom. The crystal system is tetragonal. The value obtained for the magnetization is 0.8 μB/cell.